Density functional theory data (PBE-GGA) for a relaxed CsRb2HgO crystal.

CIF file:
```
data_CsRb2HgO
_chemical_formula_sum 'Cs1 Rb2 Hg1 O1'
_symmetry_space_group_name_H-M 'P 4/m m m'
_symmetry_Int_Tables_number 123
_symmetry_space_group_name_Hall '-P 4 2'
_cell_length_a 8.6591
_cell_length_b 8.6591
_cell_length_c 7.2569
_cell_angle_alpha 90.00
_cell_angle_beta 90.00
_cell_angle_gamma 90.00
loop_
_atom_site_label
_atom_site_fract_x
_atom_site_fract_y
_atom_site_fract_z
_atom_site_occupancy
Cs1 0.0000 0.0000 0.0000 1
Rb1 0.0000 0.5000 0.0000 1
Hg1 0.0000 0.0000 0.5000 1
O1 0.5000 0.5000 0.5000 1
```

Output
D(E_F) = 0.609 states/eV/atom
magnetic moment = 1.16 μB/cell
energy above the lowest structure with this stoichiometry = 1083 meV/atom
formation energy from raw total energies = 0.5002 eV/atom
V = 108.83 Å³/atom